Material: Nb2Al5Cu2Rh
Method: DFT, PBE
State: optimized geometry

The structure in POSCAR format:
```
Nb2Al5Cu2Rh
1.0
9.154 0.000 0.000
0.000 9.154 0.000
0.000 0.000 3.571
Nb Al Cu Rh
4 10 4 2
Direct
0.176 0.324 0.000
0.324 0.824 0.000
0.676 0.176 0.000
0.824 0.676 0.000
0.000 0.500 0.500
0.061 0.799 0.500
0.201 0.061 0.500
0.299 0.561 0.500
0.439 0.299 0.500
0.500 0.000 0.500
0.561 0.701 0.500
0.701 0.439 0.500
0.799 0.939 0.500
0.939 0.201 0.500
0.122 0.622 0.000
0.378 0.122 0.000
0.622 0.878 0.000
0.878 0.378 0.000
0.000 0.000 0.000
0.500 0.500 0.000
```

## Properties
- density (g cm⁻³) = 6.1
- space group = P4/mbm (127)
- energy relative to the elements (eV per atom) = -0.34
- raw total energy (eV per cell) = -115.6
- magnetic moment (μB per atom) = 0.000



Material: Sr2NbAlCu
Method: DFT, PBE
State: optimized geometry

The structure in POSCAR format:
```
Sr2NbAlCu
1.0
5.902 0.000 0.000
0.000 5.902 0.000
0.000 0.000 4.722
Sr Nb Al Cu
2 1 1 1
Direct
0.000 0.500 0.000
0.500 0.000 0.000
0.000 0.000 0.000
0.500 0.500 0.500
0.000 0.000 0.500
```

## Properties
- density (g cm⁻³) = 3.6
- space group = P4/mmm (123)
- energy relative to the elements (eV per atom) = 1.04
- raw total energy (eV per cell) = -16.1
- magnetic moment (μB per atom) = 0.000



Material: NbAlCuTc
Method: DFT, PBE
State: optimized geometry

The structure in POSCAR format:
```
NbAlCuTc
1.0
0.000 3.106 3.106
3.106 0.000 3.106
3.106 3.106 0.000
Nb Al Cu Tc
1 1 1 1
Direct
0.000 0.000 0.000
0.500 0.500 0.500
0.250 0.250 0.250
0.750 0.750 0.750
```

## Properties
- density (g cm⁻³) = 7.8
- space group = F-43m (216)
- energy relative to the elements (eV per atom) = -0.19
- raw total energy (eV per cell) = -29.0
- magnetic moment (μB per atom) = 0.000



Material: Ti2NbAl5Cu2
Method: DFT, PBE
State: optimized geometry

The structure in POSCAR format:
```
Ti2NbAl5Cu2
1.0
8.898 0.000 0.000
0.000 8.898 0.000
0.000 0.000 3.916
Ti Nb Al Cu
4 2 10 4
Direct
0.163 0.337 0.000
0.337 0.837 0.000
0.663 0.163 0.000
0.837 0.663 0.000
0.000 0.000 0.000
0.500 0.500 0.000
0.000 0.500 0.500
0.079 0.797 0.500
0.203 0.079 0.500
0.297 0.579 0.500
0.421 0.297 0.500
0.500 0.000 0.500
0.579 0.703 0.500
0.703 0.421 0.500
0.797 0.921 0.500
0.921 0.203 0.500
0.133 0.633 0.000
0.367 0.133 0.000
0.633 0.867 0.000
0.867 0.367 0.000
```

## Properties
- density (g cm⁻³) = 4.8
- space group = P4/mbm (127)
- energy relative to the elements (eV per atom) = -0.26
- raw total energy (eV per cell) = -110.6
- magnetic moment (μB per atom) = 0.000



Material: Nb2AlTlCu
Method: DFT, PBE
State: optimized geometry

The structure in POSCAR format:
```
Nb2AlTlCu
1.0
4.802 0.000 0.000
0.000 4.802 0.000
0.000 0.000 4.375
Nb Al Tl Cu
2 1 1 1
Direct
0.000 0.500 0.000
0.500 0.000 0.000
0.000 0.000 0.500
0.500 0.500 0.500
0.000 0.000 0.000
```

## Properties
- density (g cm⁻³) = 7.9
- space group = P4/mmm (123)
- energy relative to the elements (eV per atom) = 0.72
- raw total energy (eV per cell) = -26.7
- magnetic moment (μB per atom) = 0.000



Material: Y2NbAlCu
Method: DFT, PBE
State: optimized geometry

The structure in POSCAR format:
```
Y2NbAlCu
1.0
5.475 0.000 0.000
0.000 5.475 0.000
0.000 0.000 4.328
Y Nb Al Cu
2 1 1 1
Direct
0.000 0.500 0.000
0.500 0.000 0.000
0.000 0.000 0.500
0.500 0.500 0.000
0.500 0.500 0.500
```

## Properties
- density (g cm⁻³) = 4.6
- space group = P4/mmm (123)
- energy relative to the elements (eV per atom) = 0.75
- raw total energy (eV per cell) = -27.1
- magnetic moment (μB per atom) = 0.564



Material: Nd4Al5Cu2
Method: DFT, PBE
State: optimized geometry

The structure in POSCAR format:
```
Nd4Al5Cu2
1.0
7.347 0.000 0.000
0.000 3.630 0.000
-0.547 0.000 9.508
Nd Al Cu
4 5 2
Direct
0.167 0.000 0.376
0.262 0.000 0.945
0.738 0.000 0.055
0.833 0.000 0.624
0.205 0.500 0.666
0.442 0.500 0.208
0.500 0.500 0.500
0.558 0.500 0.792
0.795 0.500 0.334
0.058 0.500 0.135
0.942 0.500 0.865
```

## Properties
- density (g cm⁻³) = 5.5
- space group = P2/m (10)
- energy relative to the elements (eV per atom) = -0.27
- raw total energy (eV per cell) = -48.9
- magnetic moment (μB per atom) = 0.000



Material: Nd3AlCu
Method: DFT, PBE
State: optimized geometry

The structure in POSCAR format:
```
Nd3AlCu
1.0
5.272 -4.308 0.000
5.272 4.308 0.000
-5.132 0.000 6.088
Nd Al Cu
6 2 2
Direct
0.029 0.029 0.322
0.073 0.470 0.246
0.470 0.073 0.246
0.530 0.927 0.754
0.927 0.530 0.754
0.971 0.971 0.678
0.419 0.419 0.683
0.581 0.581 0.317
0.343 0.343 0.934
0.657 0.657 0.066
```

## Properties
- density (g cm⁻³) = 6.3
- space group = C2/m (12)
- energy relative to the elements (eV per atom) = -0.08
- raw total energy (eV per cell) = -45.1
- magnetic moment (μB per atom) = 0.000